# DyZnGaRu PBE relaxed
# **Volume**: 17.3 Å³/atom
# **Energy of formation from the pure elements**: -0.29 eV per atom
# **Final energy**: -77.296 eV per cell
# **Energy above the most stable polymorph in this dataset**: 0.048 eV per atom
data_DyZnGaRu
_chemical_formula_sum 'Dy4 Zn4 Ga4 Ru4'
_cell_length_a 6.518
_cell_length_b 6.518
_cell_length_c 6.518
_cell_angle_alpha 90.00
_cell_angle_beta 90.00
_cell_angle_gamma 90.00
_space_group_name_H-M_alt 'F -4 3 m'
_space_group_IT_number 216
_space_group_name_Hall 'F -4 2 3'
loop_
_atom_site_label
_atom_site_fract_x
_atom_site_fract_y
_atom_site_fract_z
Dy1 0.000 0.000 0.000
Zn1 0.250 0.250 0.250
Ga1 0.250 0.250 0.750
Ru1 0.000 0.000 0.500

# Rb2NdAlSe4 PBE relaxed
# **Volume**: 29.6 Å³/atom
# **E_form (uncorrected)**: -1.20 eV per atom
# **Final energy**: -135.985 eV per cell
data_Rb2NdAlSe4
_chemical_formula_sum 'Rb8 Nd4 Al4 Se16'
_cell_length_a 8.463
_cell_length_b 9.013
_cell_length_c 12.437
_cell_angle_alpha 90.00
_cell_angle_beta 90.00
_cell_angle_gamma 90.00
_space_group_name_H-M_alt 'I m m a'
_space_group_IT_number 74
_space_group_name_Hall '-I 2b 2'
loop_
_atom_site_label
_atom_site_fract_x
_atom_site_fract_y
_atom_site_fract_z
Rb1 0.000 0.000 0.000
Rb2 0.250 0.250 0.250
Nd1 0.000 0.000 0.500
Al1 0.250 0.250 0.750
Se1 0.000 0.056 0.741
Se2 0.228 0.250 0.529

# RbHgF6 PBE relaxed
# **Volume**: 18.0 Å³/atom
# **E_form (uncorrected)**: -1.26 eV per atom
# **Final energy**: -67.703 eV per cell
data_RbHgF6
_chemical_formula_sum 'Rb3 Hg3 F18'
_cell_length_a 8.0482
_cell_length_b 8.0482
_cell_length_c 7.7065
_cell_angle_alpha 90.00
_cell_angle_beta 90.00
_cell_angle_gamma 120.00
_space_group_name_H-M_alt 'R -3 m'
_space_group_IT_number 166
_space_group_name_Hall '-R 3 2"'
loop_
_atom_site_label
_atom_site_fract_x
_atom_site_fract_y
_atom_site_fract_z
Rb1 0.0000 0.0000 0.0000
Hg1 0.0000 0.0000 0.5000
F1 0.1019 0.5510 0.3285

# PmNpSiGe PBE relaxed
# **Volume**: 22.7 Å³/atom
# **E_form (uncorrected)**: -0.20 eV per atom
# **Final energy**: -114.048 eV per cell
data_PmNpSiGe
_chemical_formula_sum 'Pm4 Np4 Si4 Ge4'
_cell_length_a 7.130
_cell_length_b 7.130
_cell_length_c 7.130
_cell_angle_alpha 90.00
_cell_angle_beta 90.00
_cell_angle_gamma 90.00
_space_group_name_H-M_alt 'F -4 3 m'
_space_group_IT_number 216
_space_group_name_Hall 'F -4 2 3'
loop_
_atom_site_label
_atom_site_fract_x
_atom_site_fract_y
_atom_site_fract_z
Pm1 0.000 0.000 0.000
Np1 0.000 0.000 0.500
Si1 0.250 0.250 0.750
Ge1 0.250 0.250 0.250

# TlAgN2F PBE relaxed
# **Volume**: 17.5 Å³/atom
# **E_form (uncorrected)**: 1.20 eV per atom
# **Final energy**: -17.732 eV per cell
# **Energy above the most stable polymorph in this dataset**: 0.244 eV per atom
data_TlAgN2F
_chemical_formula_sum 'Tl1 Ag1 N2 F1'
_cell_length_a 4.369
_cell_length_b 4.369
_cell_length_c 4.578
_cell_angle_alpha 90.00
_cell_angle_beta 90.00
_cell_angle_gamma 90.00
_space_group_name_H-M_alt 'P 4/m m m'
_space_group_IT_number 123
_space_group_name_Hall '-P 4 2'
loop_
_atom_site_label
_atom_site_fract_x
_atom_site_fract_y
_atom_site_fract_z
Tl1 0.000 0.000 0.000
Ag1 0.500 0.500 0.500
N1 0.000 0.500 0.000
F1 0.000 0.000 0.500

# Y8Er4Th PBE relaxed
# **Volume**: 33.5 Å³/atom
# **Energy of formation from the pure elements**: 0.28 eV per atom
# **Final energy**: -221.082 eV per cell
data_Y8Er4Th
_chemical_formula_sum 'Y24 Er12 Th3'
_cell_length_a 6.8880
_cell_length_b 6.8880
_cell_length_c 31.7718
_cell_angle_alpha 90.00
_cell_angle_beta 90.00
_cell_angle_gamma 120.00
_space_group_name_H-M_alt 'R -3 m'
_space_group_IT_number 166
_space_group_name_Hall '-R 3 2"'
loop_
_atom_site_label
_atom_site_fract_x
_atom_site_fract_y
_atom_site_fract_z
Y1 0.0000 0.0000 0.1993
Y2 0.0073 0.5037 0.7547
Er1 0.0000 0.0000 0.0000
Er2 0.0000 0.5000 0.0000
Th1 0.0000 0.0000 0.5000

# MnCrIrBr2 PBE relaxed
# **Volume**: 22.8 Å³/atom
# **E_form (uncorrected)**: 0.83 eV per atom
# **Final energy**: -26.869 eV per cell
data_MnCrIrBr2
_chemical_formula_sum 'Mn1 Cr1 Ir1 Br2'
_cell_length_a 4.886
_cell_length_b 4.886
_cell_length_c 4.773
_cell_angle_alpha 90.00
_cell_angle_beta 90.00
_cell_angle_gamma 90.00
_space_group_name_H-M_alt 'P 4/m m m'
_space_group_IT_number 123
_space_group_name_Hall '-P 4 2'
loop_
_atom_site_label
_atom_site_fract_x
_atom_site_fract_y
_atom_site_fract_z
Mn1 0.000 0.000 0.000
Cr1 0.500 0.500 0.500
Ir1 0.500 0.500 0.000
Br1 0.000 0.500 0.500

# Zr2InCo PBE relaxed
# **Volume**: 19.4 Å³/atom
# **Energy of formation from the pure elements**: -0.11 eV per atom
# **Final energy**: -27.377 eV per cell
data_Zr2InCo
_chemical_formula_sum 'Zr2 In1 Co1'
_cell_length_a 4.426
_cell_length_b 4.426
_cell_length_c 3.957
_cell_angle_alpha 90.00
_cell_angle_beta 90.00
_cell_angle_gamma 90.00
_space_group_name_H-M_alt 'P 4/m m m'
_space_group_IT_number 123
_space_group_name_Hall '-P 4 2'
loop_
_atom_site_label
_atom_site_fract_x
_atom_site_fract_y
_atom_site_fract_z
Zr1 0.000 0.500 0.000
In1 0.000 0.000 0.500
Co1 0.500 0.500 0.500

# SrNiHg PBE relaxed
# **Volume**: 30.7 Å³/atom
# **Energy of formation from the pure elements**: 0.40 eV per atom
# **Final energy**: -26.264 eV per cell
data_SrNiHg
_chemical_formula_sum 'Sr4 Ni4 Hg4'
_cell_length_a 7.169
_cell_length_b 7.169
_cell_length_c 7.169
_cell_angle_alpha 90.00
_cell_angle_beta 90.00
_cell_angle_gamma 90.00
_space_group_name_H-M_alt 'F -4 3 m'
_space_group_IT_number 216
_space_group_name_Hall 'F -4 2 3'
loop_
_atom_site_label
_atom_site_fract_x
_atom_site_fract_y
_atom_site_fract_z
Sr1 0.000 0.000 0.000
Ni1 0.250 0.250 0.750
Hg1 0.250 0.250 0.250

# Sb2PtSe PBE relaxed
# **Volume**: 23.6 Å³/atom
# **E_form (uncorrected)**: -0.13 eV per atom
# **Final energy**: -54.823 eV per cell
data_Sb2PtSe
_chemical_formula_sum 'Sb6 Pt3 Se3'
_cell_length_a 3.9520
_cell_length_b 3.9520
_cell_length_c 20.9368
_cell_angle_alpha 90.00
_cell_angle_beta 90.00
_cell_angle_gamma 120.00
_space_group_name_H-M_alt 'R 3 m'
_space_group_IT_number 160
_space_group_name_Hall 'R 3 -2"'
loop_
_atom_site_label
_atom_site_fract_x
_atom_site_fract_y
_atom_site_fract_z
Sb1 0.0000 0.0000 0.0000
Sb2 0.0000 0.0000 0.2307
Pt1 0.0000 0.0000 0.7344
Se1 0.0000 0.0000 0.4712